# CsPtO2, relaxed, DFT GGA-PBE
# uncorrected formation energy: -0.616 eV/atom
# total magnetic moment: 1.0 μB/f.u.
# energy: -57.83 eV for the cell shown
data_CsPtO2
_chemical_formula_sum 'Cs3 Pt3 O6'
_space_group_name_H-M_alt 'R -3 m'
_space_group_IT_number 166
_space_group_name_Hall '-R 3 2"'
_cell_length_a 4.4230
_cell_length_b 4.4230
_cell_length_c 19.7794
_cell_angle_alpha 90.00
_cell_angle_beta 90.00
_cell_angle_gamma 120.00
loop_
_atom_site_label
_atom_site_type_symbol
_atom_site_fract_x
_atom_site_fract_y
_atom_site_fract_z
Cs1 Cs 0.0000 0.0000 0.0000
Pt1 Pt 0.0000 0.0000 0.5000
O1 O 0.0000 0.0000 0.4098